Below is an optimized crystal structure of Li6Mn5SbO12, with properties calculated at the GGA+U level.

```
24
Lattice="2.772 -4.543 0.000 2.772 4.543 0.000 -1.709 0.000 10.411" Properties=species:S:1:pos:R:3 pbc="T T T"
Li 0.187 1.493 7.413
Li 0.854 0.000 2.956
Li 0.189 -1.575 7.446
Li 3.647 1.493 2.999
Li 2.981 0.000 7.455
Li 3.645 -1.575 2.965
Mn 1.917 4.509 5.206
Mn 2.772 2.982 0.000
Mn 1.917 1.490 5.206
Mn 1.917 -1.545 5.206
Mn 2.772 -3.062 0.000
Sb 2.772 -0.014 0.000
O 1.171 2.886 6.414
O 0.209 1.355 9.270
O 0.996 0.067 1.036
O 2.663 2.886 3.997
O 1.217 -0.031 6.335
O 0.292 -1.562 9.359
O 3.625 1.355 1.141
O 2.617 -0.031 4.076
O 1.163 -2.942 6.400
O 2.839 0.067 9.375
O 3.543 -1.562 1.052
O 2.672 -2.942 4.011
```

Values from the calculation:
- Space-group type: C2 (5)
- Final energy: -154.74 eV/f.u.
- ρ: 4.0 g/cm3